# PBE-GGA CeCoSn3, optimized geometry
data_CeCoSn3
_cell_length_a 8.9817
_cell_length_b 4.4322
_cell_length_c 11.4474
_cell_angle_alpha 90.00
_cell_angle_beta 90.00
_cell_angle_gamma 90.00
_space_group_name_H-M_alt 'P n m a'
_space_group_IT_number 62
loop_
_space_group_symop_operation_xyz
'x,y,z'
'-x,-y,-z'
'-x+1/2,-y,z+1/2'
'x+1/2,y,-z+1/2'
'x+1/2,-y+1/2,-z+1/2'
'-x+1/2,y+1/2,z+1/2'
'-x,y+1/2,-z'
'x,-y+1/2,z'
loop_
_atom_site_label
_atom_site_fract_x
_atom_site_fract_y
_atom_site_fract_z
_atom_site_occupancy
Ce1 0.1899 0.2500 0.0256 1
Co1 0.0723 0.2500 0.3416 1
Sn1 0.0649 0.2500 0.5743 1
Sn2 0.1282 0.7500 0.2201 1
Sn3 0.1343 0.7500 0.8189 1
# ρ   8.09 g cm⁻³
# Formation energy from the elements   -1.77 eV/f.u.
# Calculated volume   22.785 Å³ per atom
# Magnetization   3.73 μB per cell

***

# PBE-GGA CeCo4Sn12, optimized geometry
data_CeCo4Sn12
_cell_length_a 9.2189
_cell_length_b 9.2189
_cell_length_c 9.2189
_cell_angle_alpha 90.00
_cell_angle_beta 90.00
_cell_angle_gamma 90.00
_space_group_name_H-M_alt 'I m -3'
_space_group_IT_number 204
_space_group_name_Hall '-I 2 2 3'
loop_
_atom_site_label
_atom_site_fract_x
_atom_site_fract_y
_atom_site_fract_z
_atom_site_occupancy
Ce1 0.0000 0.0000 0.0000 1
Co1 0.2500 0.2500 0.2500 1
Sn1 0.0000 0.1698 0.3309 1
# ρ   7.63 g cm⁻³
# Formation energy from the elements   -1.83 eV/f.u.
# Calculated volume   23.044 Å³ per atom
# Magnetization   0.65 μB per cell

***

no.,raw total energy (eV per atom)
1,-5.364
2,-4.954